[1]
Here is Dy2Er2Hg7 after structural relaxation from the Alexandria database. Energies are from PBE.

POSCAR file:
```
Dy2Er2Hg7
1.0
7.433 -0.041 -0.533
-0.283 5.259 0.271
-0.995 0.035 7.385
Er Hg Dy
2 7 2
Cartesian
5.030 1.332 1.725
1.124 3.921 5.397
4.198 3.999 0.280
2.709 1.237 3.906
-0.269 1.256 4.474
3.445 4.016 3.217
6.422 3.997 2.648
0.000 0.000 0.000
1.956 1.254 6.842
1.136 2.628 1.495
5.018 2.625 5.627
```

## Properties
Spin magnetization in μB per formula unit: 0.00
ΔE_f in eV per atom: -0.2925
E_tot in eV per atom: -2.151

---

[2]
Here is Dy2Er8Hg after structural relaxation from the Alexandria database. Energies are from PBE.

POSCAR file:
```
Dy2Er8Hg
1.0
5.489 0.000 0.000
0.000 6.179 1.297
-2.744 -1.061 9.528
Hg Dy Er
1 2 8
Cartesian
2.744 0.000 0.000
0.000 3.614 5.512
2.744 1.504 5.313
0.000 4.438 1.795
0.000 2.832 8.831
2.744 2.286 1.995
2.744 5.068 4.162
2.744 4.213 7.607
0.000 0.050 6.663
2.744 0.680 9.030
0.000 0.905 3.218
```

## Properties
Spin magnetization in μB per formula unit: 0.00
ΔE_f in eV per atom: -0.0495
E_tot in eV per atom: -4.232

---

[3]
Here is DyEr2Hg2 after structural relaxation from the Alexandria database. Energies are from PBE.

POSCAR file:
```
DyEr2Hg2
1.0
-5.130 3.522 1.891
0.782 -1.438 -6.295
-2.329 -8.188 3.279
Er Hg Dy
4 4 2
Cartesian
-2.656 -3.542 2.167
-2.182 0.350 -3.727
-4.494 -6.454 2.604
-4.021 -2.562 -3.291
-4.100 -5.339 -2.099
-2.577 -0.765 0.975
-4.409 -0.009 -1.699
-2.267 -6.095 0.575
-5.748 -3.957 0.183
-0.928 -2.148 -1.307
```

## Properties
Offset from the most stable computed form in eV/f.u.: 2.21
Spin magnetization in μB per formula unit: 0.00
ΔE_f in eV per atom: 0.0551
E_tot in eV per atom: -2.811